# NdMg2Au2 GGA-PBE optimized geometry
data_NdMg2Au2
_cell_length_a 4.179
_cell_length_b 4.179
_cell_length_c 12.979
_cell_angle_alpha 90.00
_cell_angle_beta 90.00
_cell_angle_gamma 90.00
_symmetry_space_group_name_H-M 'I 4/m m m'
_symmetry_Int_Tables_number 139
_symmetry_space_group_name_Hall '-I 4 2'
loop_
_atom_site_label
_atom_site_type_symbol
_atom_site_fract_x
_atom_site_fract_y
_atom_site_fract_z
Nd1 Nd 0.000 0.000 0.000
Mg1 Mg 0.000 0.500 0.250
Au1 Au 0.000 0.000 0.391
# Total magnetization ... 0.00 μB/cell
# ΔH_f (0 K) ... -3.2 eV/f.u.
# Calculated total energy ... -35.354 eV/cell
# Density of states at the Fermi level ... 6.18 states/eV per cell
# Offset from the most stable computed form ... 0.0000 eV per atom